Record 1
# TeIr2N

An optimized crystal structure of TeIr2N (PBE, the Alexandria database).

The space group is Fm-3m (No. 225) and the conventional cell measures 6.173, 6.173 and 6.173 Å, with angles of 90.00, 90.00 and 90.00 degrees. The inequivalent atoms are Te at (0.000, 0.000, 0.000), Ir at (0.250, 0.250, 0.250) and N at (0.000, 0.000, 0.500).

Its total energy is -0.22088 Ha/atom. Its energy relative to the elements, uncorrected is 5.15 eV per formula unit.

Record 2
# TeIr2N

An optimized crystal structure of TeIr2N (PBE, the Alexandria database).

The space group is I-42d (No. 122) and the conventional cell measures 4.927, 4.927 and 11.635 Å, with angles of 90.00, 90.00 and 90.00 degrees. The inequivalent atoms are Te at (0.000, 0.000, 0.000), Ir at (0.135, 0.250, 0.625) and N at (0.000, 0.000, 0.500).

Its total energy is -0.25358 Ha/atom. Its energy relative to the elements, uncorrected is 1.59 eV per formula unit.